Entry 1:
Density functional theory data (PBEsol) for a relaxed structure of BeTeAuN2.

Calculated values
The symmetry is P4/mmm. The formation energy from raw total energies is 1.70 eV/atom.

Cell: 3.7349 3.7349 7.7185 Å, 90.00 90.00 90.00°
Fractional coordinates of all 5 atoms:
Be (0.0000, 0.0000, 0.0000)
Te (0.5000, 0.5000, 0.0000)
Au (0.5000, 0.5000, 0.5000)
N (0.0000, 0.5000, 0.5000)
N (0.5000, 0.0000, 0.5000)



Entry 2:
Density functional theory data (PBEsol) for a relaxed structure of TiHS2Cl.

Calculated values
The symmetry is P4/mmm. The calculation puts the calculated total energy at -4.41 eV/atom.

Cell: 3.7183 3.7183 4.9387 Å, 90.00 90.00 90.00°
Fractional coordinates of all 5 atoms:
Ti (0.0000, 0.0000, 0.0000)
H (0.5000, 0.5000, 0.5000)
S (0.0000, 0.5000, 0.5000)
S (0.5000, 0.0000, 0.5000)
Cl (0.5000, 0.5000, 0.0000)



Entry 3:
Density functional theory data (PBEsol) for a relaxed structure of Cu5Ni.

Calculated values
The symmetry is Cm. The calculation puts the calculated total energy at -4.62 eV/atom.

Cell: 9.2676 2.5031 5.9579 Å, 90.00 105.89 90.00°
Fractional coordinates of all 12 atoms:
Cu (0.0000, 0.0000, 0.0000)
Cu (0.0549, 0.0000, 0.6060)
Cu (0.1682, 0.5000, 0.3306)
Cu (0.2235, 0.5000, 0.9433)
Cu (0.3340, 0.0000, 0.6630)
Cu (0.5000, 0.5000, 0.0000)
Cu (0.5549, 0.5000, 0.6060)
Cu (0.6682, 0.0000, 0.3306)
Cu (0.7235, 0.0000, 0.9433)
Cu (0.8340, 0.5000, 0.6630)
Ni (0.3891, 0.0000, 0.2745)
Ni (0.8891, 0.5000, 0.2745)



Respective volume values: 21.53 13.66 11.08 Å³ per atom.
Respective total magnetic moment values: 0.000 0.312 0.000 μB/atom.